VASP calculation (GGA-PBE) on YCuSe2 after structural relaxation.

energy = -5.401 eV per atom
formation energy (no corrections) = -98.3 kJ/mol of atoms

a b c (Å): 3.992 3.992 5.608
angles (deg): 90.00 90.00 90.00
Element x y z (fractional)
Y  0.000  0.000  0.000
Cu  0.500  0.500  0.500
Se  0.000  0.000  0.500
Se  0.500  0.500  0.000